# Zr3IrCl

A relaxed Zr3IrCl crystal (PBE, Alexandria).

a b c (Å): 4.690 4.690 4.690
angles (deg): 90.00 90.00 90.00
Positions (direct):
Ir: 0.500 0.500 0.500
Zr: 0.000 0.500 0.000
Zr: 0.000 0.000 0.500
Zr: 0.500 0.000 0.000
Cl: 0.000 0.000 0.000

ΔE to the lowest computed polymorph (meV per atom): 0
Size of the total moment (μB per cell): 0.00
Formation energy from raw total energies (eV/atom): 0.05